1.
# YGeSb2Pt

An optimized crystal structure of YGeSb2Pt (PBE, Alexandria via LeMat-Bulk).

Uncorrected formation energy in eV/f.u.: 4.99
V in Å³ per atom: 34.083
Crystal system: tetragonal
DFT total energy in eV per formula unit: -20.38

Cell: 5.6595 5.3204 5.6595 Å, 90.00 90.00 90.00°
Element x y z (fractional)
Y1 0.0000 0.0000 0.0000
Sb1 0.0000 0.0000 0.5000
Sb2 0.5000 0.0000 0.0000
Ge1 0.0000 0.5000 0.0000
Pt1 0.5000 0.5000 0.5000

=====

2.
# Ba2TcTe

An optimized crystal structure of Ba2TcTe (PBE, Alexandria via LeMat-Bulk).

Uncorrected formation energy in eV/f.u.: 0.60
V in Å³ per atom: 34.664
Crystal system: tetragonal
DFT total energy in eV per formula unit: -16.75

Cell: 6.7784 6.7784 6.7784 Å, 137.86 137.86 61.12°
Site moments in Bohr magnetons follow the coordinates.
Element x y z (fractional)
Ba1 0.0000 0.0000 0.0000  -0.08
Ba2 0.2500 0.7500 0.5000  -0.05
Tc1 0.5000 0.5000 0.0000  2.73
Te1 0.7500 0.2500 0.5000  0.06

=====

3.
# PPd4

An optimized crystal structure of PPd4 (PBE, Alexandria via LeMat-Bulk).

V in Å³ per atom: 15.174
Calculated formation energy in eV/atom: -0.3800
Crystal system: tetragonal
DFT total energy in eV per formula unit: -28.08

Cell: 5.1864 5.1864 6.7285 Å, 112.67 112.67 90.00°
Element x y z (fractional)
P1 0.7500 0.2500 0.5000
P2 0.0000 0.0000 0.0000
Pd1 0.0116 0.9252 0.3431
Pd2 0.1679 0.2616 0.8431
Pd3 0.7384 0.3248 0.1569
Pd4 0.0748 0.6685 0.6569
Pd5 0.6752 0.5815 0.8431
Pd6 0.4185 0.8321 0.1569
Pd7 0.5821 0.9884 0.6569
Pd8 0.3315 0.4179 0.3431

=====

4.
# ScHRh3

An optimized crystal structure of ScHRh3 (PBE, Alexandria via LeMat-Bulk).

V in Å³ per atom: 17.290
Crystal system: orthorhombic
DFT total energy in eV per formula unit: -31.15

Cell: 7.0291 7.0291 5.0295 Å, 90.00 90.00 135.91°
Element x y z (fractional)
Sc1 0.1792 0.8208 0.2500
Sc2 0.8208 0.1792 0.7500
H1 0.4452 0.5548 0.2500
H2 0.5548 0.4452 0.7500
Rh1 0.6020 0.8878 0.2500
Rh2 0.1122 0.3980 0.2500
Rh3 0.8878 0.6020 0.7500
Rh4 0.3980 0.1122 0.7500
Rh5 0.0000 0.0000 0.0000
Rh6 0.0000 0.0000 0.5000